Entry 1:
{"formula": "LaPr3Nd12", "functional": "PBE-GGA", "state": "optimized geometry", "cell": [[5.225, 0.000, 0.000], [0.000, 5.225, 0.000], [0.000, 0.000, 20.863]], "species": ["La", "Pr", "Pr", "Pr", "Nd", "Nd", "Nd", "Nd", "Nd", "Nd", "Nd", "Nd", "Nd", "Nd", "Nd", "Nd"], "fractional_positions": [[0.000, 0.000, 0.000], [0.000, 0.000, 0.250], [0.000, 0.000, 0.500], [0.000, 0.000, 0.750], [0.500, 0.500, 0.000], [0.500, 0.500, 0.251], [0.500, 0.500, 0.500], [0.500, 0.500, 0.749], [0.500, 0.000, 0.125], [0.500, 0.000, 0.375], [0.500, 0.000, 0.625], [0.500, 0.000, 0.875], [0.000, 0.500, 0.125], [0.000, 0.500, 0.375], [0.000, 0.500, 0.625], [0.000, 0.500, 0.875]], "n_ef_per_ev_cell": 25.67, "vol_a3_per_fu": 569.5, "formation_energy_kj_per_mol_atoms": 1.0, "density_g_cm3": 6.684, "crystal_system": "tetragonal", "total_energy_ev_per_cell": -76.3, "magmom_total_mub_per_cell": 0.00}

---

Entry 2:
{"formula": "La3Pr7Nd", "functional": "PBE-GGA", "state": "optimized geometry", "cell": [[-2.892, 2.815, -5.207], [-6.001, -5.238, -0.198], [-5.232, 4.080, 4.412]], "species": ["La", "La", "La", "Pr", "Pr", "Pr", "Pr", "Pr", "Pr", "Pr", "Nd"], "fractional_positions": [[0.000, 0.826, 0.174], [0.500, 0.000, 0.000], [0.000, 0.174, 0.826], [0.787, 0.236, 0.236], [0.738, 0.918, 0.571], [0.262, 0.429, 0.082], [0.738, 0.571, 0.918], [0.000, 0.500, 0.500], [0.262, 0.082, 0.429], [0.213, 0.764, 0.764], [0.500, 0.500, 0.500]], "n_ef_per_ev_cell": 16.34, "vol_a3_per_fu": 412.1, "formation_energy_kj_per_mol_atoms": 18.6, "density_g_cm3": 6.234, "crystal_system": "monoclinic", "total_energy_ev_per_cell": -50.9, "magmom_total_mub_per_cell": 0.00}

---

Entry 3:
{"formula": "La6Pr8Nd", "functional": "PBE-GGA", "state": "optimized geometry", "cell": [[-2.123, 6.110, 0.425], [-6.259, 1.335, -1.026], [-5.622, 0.480, 14.450]], "species": ["La", "La", "La", "La", "La", "La", "Pr", "Pr", "Pr", "Pr", "Pr", "Pr", "Pr", "Pr", "Nd"], "fractional_positions": [[0.933, 0.600, 0.200], [0.734, 0.067, 0.800], [0.400, 0.734, 0.800], [0.600, 0.266, 0.200], [0.266, 0.933, 0.200], [0.067, 0.400, 0.800], [0.800, 0.467, 0.600], [0.867, 0.200, 0.400], [0.533, 0.867, 0.400], [0.333, 0.333, 0.000], [0.667, 0.667, 0.000], [0.467, 0.133, 0.600], [0.133, 0.800, 0.600], [0.200, 0.533, 0.400], [0.000, 0.000, 0.000]], "n_ef_per_ev_cell": 24.59, "vol_a3_per_fu": 547.8, "formation_energy_kj_per_mol_atoms": 0.4, "density_g_cm3": 6.381, "crystal_system": "trigonal", "total_energy_ev_per_cell": -72.5, "magmom_total_mub_per_cell": 0.00}